First-principles (GGA-PBE) data for a relaxed structure of SnPd3Rh, as listed in Alexandria via LeMat-Bulk.

a b c (Å): 4.833 4.833 4.833
angles (deg): 90.00 90.00 90.00
Each line ends with the local moment (μB).
Fractional positions:
Rh (0.000, 0.000, 0.000)  1.07
Pd (0.000, 0.000, 0.500)  0.53
Pd (0.000, 0.500, 0.000)  0.23
Pd (0.500, 0.000, 0.000)  0.09
Sn (0.500, 0.500, 0.500)  0.01

Density of states at the Fermi level, states/eV/cell: 6.63
V, Å³ per cell: 113
Total moment, μB/atom: 0.396
E above lowest polymorph, eV per atom: 0.500
ΔE_f, meV per atom: 841
Crystal system: cubic

=====

First-principles (GGA-PBE) data for a relaxed structure of InSiPb2, as listed in Alexandria via LeMat-Bulk.

a b c (Å): 5.546 5.546 5.546
angles (deg): 126.26 126.26 79.46
Fractional positions:
Si (0.250, 0.750, 0.500)
Pb (0.000, 0.000, 0.000)
Pb (0.500, 0.500, 0.000)
In (0.750, 0.250, 0.500)

Density of states at the Fermi level, states/eV/cell: 2.01
V, Å³ per cell: 107
Total moment, μB/atom: 0.000
ΔE_f (raw), eV/f.u.: 1.26
Crystal system: tetragonal